MgTe2Pt | PBE | optimized geometry

The uncorrected energy is -53.84 eV per cell. Its crystal system is cubic. The energy relative to the elements, uncorrected comes out at 0.11 eV per atom.

It has space group F-43m (No. 216), with a = 7.121 Å, b = 7.121 Å, c = 7.121 Å, α = 90.00°, β = 90.00° and γ = 90.00°. The asymmetric unit holds Mg at (0.000, 0.000, 0.000), Te at (0.000, 0.000, 0.500), Te at (0.250, 0.250, 0.250) and Pt at (0.250, 0.250, 0.750).



Rb5Cd2Hg4 | PBE | optimized geometry

The uncorrected energy is -18.48 eV per cell. Its crystal system is monoclinic. For the formation enthalpy at 0 K, the calculation gives -124.2 meV/atom.

It has space group C2/m (No. 12), with a = 24.516 Å, b = 4.738 Å, c = 9.357 Å, α = 90.00°, β = 112.36° and γ = 90.00°. The asymmetric unit holds Rb at (0.000, 0.000, 0.000), Rb at (0.158, 0.500, 0.393), Rb at (0.158, 0.500, 0.923), Cd at (0.069, 0.000, 0.570), Hg at (0.000, 0.500, 0.324) and Hg at (0.208, 0.000, 0.708).



Rb3CeNd2Se6 | PBE | optimized geometry

The uncorrected energy is -119.66 eV per cell. Its crystal system is monoclinic. The energy relative to the elements, uncorrected comes out at -1.71 eV per atom.

It has space group C2/m (No. 12), with a = 7.611 Å, b = 13.183 Å, c = 8.402 Å, α = 90.00°, β = 107.57° and γ = 90.00°. The asymmetric unit holds Rb at (0.000, 0.000, 0.000), Rb at (0.000, 0.333, 0.000), Ce at (0.000, 0.500, 0.500), Nd at (0.000, 0.167, 0.500), Se at (0.233, 0.000, 0.700) and Se at (0.234, 0.333, 0.700).



Cu11PdN4 | PBE | optimized geometry

The uncorrected energy is -74.83 eV per cell. Its crystal system is tetragonal. The energy relative to the elements, uncorrected comes out at 0.54 eV per atom.

It has space group P4/mmm (No. 123), with a = 7.455 Å, b = 7.455 Å, c = 3.749 Å, α = 90.00°, β = 90.00° and γ = 90.00°. The asymmetric unit holds Cu at (0.000, 0.000, 0.000), Cu at (0.000, 0.256, 0.500), Cu at (0.000, 0.500, 0.000), Cu at (0.254, 0.254, 0.000), Pd at (0.500, 0.500, 0.000), N at (0.000, 0.000, 0.500), N at (0.000, 0.500, 0.500) and N at (0.500, 0.500, 0.500).